Record 1
VASP calculation (PBE-GGA) on Be2VSi after structural relaxation.

Lattice parameters (Å, degrees): 5.0385 5.0385 5.0385 102.51 102.51 124.53
Fractional coordinates of all 8 atoms:
Be  0.1018  0.6250  0.9768
Be  0.3750  0.3518  0.4768
Be  0.6482  0.1250  0.0232
Be  0.8750  0.8982  0.5232
V  0.2500  0.7500  0.5000
V  0.5000  0.5000  0.0000
Si  0.0000  0.0000  0.0000
Si  0.7500  0.2500  0.5000

Properties
raw formation energy = 27.9 kJ per mole of atoms
ρ = 3.46 g/cm³
polymorph energy (0 for the lowest one) = 528 meV per atom
symmetry = No. 122
total magnetization = 0.000 μB/atom

Record 2
VASP calculation (PBE-GGA) on Be4VSi after structural relaxation.

Lattice parameters (Å, degrees): 4.3333 4.3333 4.3333 60.00 60.00 60.00
Fractional coordinates of all 6 atoms:
Be  0.3766  0.3766  0.3766
Be  0.3766  0.3766  0.8702
Be  0.3766  0.8702  0.3766
Be  0.8702  0.3766  0.3766
V  0.7500  0.7500  0.7500
Si  0.0000  0.0000  0.0000

Properties
raw formation energy = 0.6 kJ per mole of atoms
ρ = 3.32 g/cm³
symmetry = No. 216
total magnetization = 0.426 μB/atom

Record 3
VASP calculation (PBE-GGA) on BeV5Si5 after structural relaxation.

Lattice parameters (Å, degrees): 5.1086 5.1086 7.3964 100.81 100.81 50.81
Fractional coordinates of all 11 atoms:
Be  0.0000  0.0000  0.0000
V  0.0000  0.0000  0.5000
V  0.2874  0.2874  0.5917
V  0.4202  0.4202  0.2847
V  0.5798  0.5798  0.7153
V  0.7126  0.7126  0.4083
Si  0.1471  0.1471  0.2606
Si  0.2009  0.2009  0.8826
Si  0.5000  0.5000  0.0000
Si  0.7991  0.7991  0.1174
Si  0.8529  0.8529  0.7394

Properties
raw formation energy = 1.9 kJ per mole of atoms
ρ = 4.59 g/cm³
symmetry = No. 12
total magnetization = 0.000 μB/atom

Record 4
VASP calculation (PBE-GGA) on Be16V2Si after structural relaxation.

Lattice parameters (Å, degrees): 5.5205 5.5205 5.5205 83.12 83.12 83.12
Fractional coordinates of all 19 atoms:
Be  0.0009  0.3100  0.6892
Be  0.0009  0.6892  0.3100
Be  0.0031  0.0031  0.4929
Be  0.0031  0.4929  0.0031
Be  0.1057  0.1057  0.1057
Be  0.1697  0.6495  0.6495
Be  0.3100  0.0009  0.6892
Be  0.3100  0.6892  0.0009
Be  0.3462  0.3462  0.8362
Be  0.3462  0.8362  0.3462
Be  0.4929  0.0031  0.0031
Be  0.6495  0.1697  0.6495
Be  0.6495  0.6495  0.1697
Be  0.6892  0.0009  0.3100
Be  0.6892  0.3100  0.0009
Be  0.8362  0.3462  0.3462
V  0.3408  0.3408  0.3408
V  0.6575  0.6575  0.6575
Si  0.8985  0.8985  0.8985

Properties
raw formation energy = -9.9 kJ per mole of atoms
ρ = 2.76 g/cm³
symmetry = No. 160
total magnetization = 0.000 μB/atom

Record 5
VASP calculation (PBE-GGA) on BeVSi3 after structural relaxation.

Lattice parameters (Å, degrees): 4.5665 4.5665 4.5665 90.00 90.00 90.00
Fractional coordinates of all 5 atoms:
Be  0.0000  0.0000  0.0000
V  0.5000  0.5000  0.5000
Si  0.0000  0.5000  0.5000
Si  0.5000  0.0000  0.5000
Si  0.5000  0.5000  0.0000

Properties
raw formation energy = 86.1 kJ per mole of atoms
ρ = 2.51 g/cm³
polymorph energy (0 for the lowest one) = 66 meV per atom
symmetry = No. 221
total magnetization = 0.134 μB/atom

Record 6
VASP calculation (PBE-GGA) on BeV2Si after structural relaxation.

Lattice parameters (Å, degrees): 4.0812 4.0812 4.0812 60.00 60.00 60.00
Fractional coordinates of all 4 atoms:
Be  0.0000  0.0000  0.0000
V  0.2500  0.2500  0.2500
V  0.7500  0.7500  0.7500
Si  0.5000  0.5000  0.5000

Properties
raw formation energy = -6.8 kJ per mole of atoms
ρ = 4.80 g/cm³
polymorph energy (0 for the lowest one) = 221 meV per atom
symmetry = No. 225
total magnetization = 0.315 μB/atom

Record 7
VASP calculation (PBE-GGA) on BeV2Si2 after structural relaxation.

Lattice parameters (Å, degrees): 6.1094 6.1094 3.3529 90.00 90.00 90.00
Fractional coordinates of all 10 atoms:
Be  0.0000  0.0000  0.0000
Be  0.5000  0.5000  0.0000
V  0.1663  0.3337  0.5000
V  0.3337  0.8337  0.5000
V  0.6663  0.1663  0.5000
V  0.8337  0.6663  0.5000
Si  0.1354  0.6354  0.0000
Si  0.3646  0.1354  0.0000
Si  0.6354  0.8646  0.0000
Si  0.8646  0.3646  0.0000

Properties
raw formation energy = -25.5 kJ per mole of atoms
ρ = 4.43 g/cm³
symmetry = No. 127
total magnetization = 0.001 μB/atom

Record 8
VASP calculation (PBE-GGA) on Be2VSi after structural relaxation.

Lattice parameters (Å, degrees): 3.9270 3.9270 3.9270 60.00 60.00 60.00
Fractional coordinates of all 4 atoms:
Be  0.2500  0.2500  0.2500
Be  0.7500  0.7500  0.7500
V  0.0000  0.0000  0.0000
Si  0.5000  0.5000  0.5000

Properties
raw formation energy = 22.1 kJ per mole of atoms
ρ = 3.76 g/cm³
polymorph energy (0 for the lowest one) = 469 meV per atom
symmetry = No. 225
total magnetization = 0.529 μB/atom

Record 9
VASP calculation (PBE-GGA) on BeV6Si3 after structural relaxation.

Lattice parameters (Å, degrees): 7.1416 7.1416 5.8915 90.00 90.00 114.46
Fractional coordinates of all 20 atoms:
Be  0.1768  0.8232  0.5000
Be  0.8232  0.1768  0.0000
V  0.0136  0.4305  0.3275
V  0.0520  0.9480  0.8460
V  0.2583  0.3688  0.0417
V  0.2731  0.7269  0.0853
V  0.3688  0.2583  0.5417
V  0.4305  0.0136  0.8275
V  0.5695  0.9864  0.3275
V  0.6312  0.7417  0.0417
V  0.7269  0.2731  0.5853
V  0.7417  0.6312  0.5417
V  0.9480  0.0520  0.3460
V  0.9864  0.5695  0.8275
Si  0.0636  0.2814  0.6920
Si  0.2814  0.0636  0.1920
Si  0.3964  0.6036  0.4188
Si  0.6036  0.3964  0.9188
Si  0.7186  0.9364  0.6920
Si  0.9364  0.7186  0.1920

Properties
raw formation energy = -11.9 kJ per mole of atoms
ρ = 4.84 g/cm³
symmetry = No. 36
total magnetization = 0.000 μB/atom

Record 10
VASP calculation (PBE-GGA) on BeVSi3 after structural relaxation.

Lattice parameters (Å, degrees): 4.2407 4.2407 4.2407 90.00 90.00 90.00
Fractional coordinates of all 5 atoms:
Be  0.0000  0.0000  0.0000
V  0.5000  0.5000  0.5000
Si  0.0000  0.0000  0.5000
Si  0.0000  0.5000  0.0000
Si  0.5000  0.0000  0.0000

Properties
raw formation energy = 79.8 kJ per mole of atoms
ρ = 3.14 g/cm³
polymorph energy (0 for the lowest one) = 0 meV per atom
symmetry = No. 221
total magnetization = 0.522 μB/atom

Record 11
VASP calculation (PBE-GGA) on BeVSi2 after structural relaxation.

Lattice parameters (Å, degrees): 4.4490 4.4490 4.4490 51.36 51.36 51.36
Fractional coordinates of all 4 atoms:
Be  0.0000  0.0000  0.0000
V  0.5000  0.5000  0.5000
Si  0.2749  0.2749  0.2749
Si  0.7251  0.7251  0.7251

Properties
raw formation energy = 16.8 kJ per mole of atoms
ρ = 3.89 g/cm³
polymorph energy (0 for the lowest one) = 269 meV per atom
symmetry = No. 166
total magnetization = 0.135 μB/atom

Record 12
VASP calculation (PBE-GGA) on Be2VSi after structural relaxation.

Lattice parameters (Å, degrees): 3.4848 3.4848 3.4394 90.00 90.00 90.00
Fractional coordinates of all 4 atoms:
Be  0.0000  0.5000  0.0000
Be  0.5000  0.0000  0.0000
V  0.0000  0.0000  0.5000
Si  0.5000  0.5000  0.5000

Properties
raw formation energy = -23.1 kJ per mole of atoms
ρ = 3.86 g/cm³
polymorph energy (0 for the lowest one) = 0 meV per atom
symmetry = No. 123
total magnetization = 0.000 μB/atom